Entry from Alexandria via LeMat-Bulk: a relaxed structure of ZnCoOs2 (PBE-GGA).

abc: 2.7294 3.7556 5.2456
angles: 90.00 90.00 90.00
Atoms (fractional coordinates):
1 Zn 0.0000 0.0000 0.0000
2 Co 0.5000 0.5000 0.2197
3 Os 0.0000 0.0000 0.4908
4 Os 0.5000 0.5000 0.7185

Results
For the formation energy, the calculation gives 0.177 eV per atom. The space-group type is Pmm2.

***

Entry from Alexandria via LeMat-Bulk: a relaxed structure of ZnCoOs2 (PBE-GGA).

abc: 2.7104 2.7104 25.6750
angles: 90.00 90.00 120.00
Atoms (fractional coordinates):
1 Zn 0.0000 0.0000 0.0000
2 Zn 0.3333 0.6667 0.6667
3 Zn 0.6667 0.3333 0.3333
4 Co 0.0000 0.0000 0.2529
5 Co 0.3333 0.6667 0.9195
6 Co 0.6667 0.3333 0.5862
7 Os 0.0000 0.0000 0.5061
8 Os 0.0000 0.0000 0.7554
9 Os 0.3333 0.6667 0.1728
10 Os 0.3333 0.6667 0.4221
11 Os 0.6667 0.3333 0.0887
12 Os 0.6667 0.3333 0.8395

Results
For the formation energy, the calculation gives 0.159 eV per atom. The space-group type is R3m.

***

Entry from Alexandria via LeMat-Bulk: a relaxed structure of ZnCoOs2 (PBE-GGA).

abc: 2.7843 4.3777 4.5026
angles: 90.00 90.00 90.00
Atoms (fractional coordinates):
1 Zn 0.0000 0.0000 0.0000
2 Co 0.5000 0.0000 0.5000
3 Os 0.0000 0.5000 0.5000
4 Os 0.5000 0.5000 0.0000

Results
For the formation energy, the calculation gives 0.379 eV per atom. The space-group type is Pmmm.

***

Entry from Alexandria via LeMat-Bulk: a relaxed structure of ZnCoOs2 (PBE-GGA).

abc: 3.7189 3.7189 7.6797
angles: 90.00 90.00 90.00
Atoms (fractional coordinates):
1 Zn 0.0000 0.0000 0.0000
2 Zn 0.5000 0.5000 0.5000
3 Co 0.0000 0.0000 0.5000
4 Co 0.5000 0.5000 0.0000
5 Os 0.0000 0.5000 0.2500
6 Os 0.0000 0.5000 0.7500
7 Os 0.5000 0.0000 0.2500
8 Os 0.5000 0.0000 0.7500

Results
For the formation energy, the calculation gives 0.332 eV per atom. The space-group type is I4/mmm.

***

Entry from Alexandria via LeMat-Bulk: a relaxed structure of ZnCoOs2 (PBE-GGA).

abc: 2.7215 2.7215 7.1814
angles: 90.00 90.00 90.00
Atoms (fractional coordinates):
1 Zn 0.0000 0.0000 0.0000
2 Co 0.5000 0.5000 0.2351
3 Os 0.0000 0.0000 0.4740
4 Os 0.5000 0.5000 0.7292

Results
For the formation energy, the calculation gives 0.130 eV per atom. The space-group type is P4mm.

***

Entry from Alexandria via LeMat-Bulk: a relaxed structure of Zn2Co2Os (PBE-GGA).

abc: 7.0377 7.0377 2.6015
angles: 90.00 90.00 90.00
Atoms (fractional coordinates):
1 Zn 0.1806 0.3194 0.0000
2 Zn 0.3194 0.8194 0.0000
3 Zn 0.6806 0.1806 0.0000
4 Zn 0.8194 0.6806 0.0000
5 Co 0.1148 0.6148 0.5000
6 Co 0.3852 0.1148 0.5000
7 Co 0.6148 0.8852 0.5000
8 Co 0.8852 0.3852 0.5000
9 Os 0.0000 0.0000 0.5000
10 Os 0.5000 0.5000 0.5000

Results
For the formation energy, the calculation gives 0.364 eV per atom. The space-group type is P4/mbm.

***

Entry from Alexandria via LeMat-Bulk: a relaxed structure of ZnCoOs2 (PBE-GGA).

abc: 7.2606 7.2606 4.6516
angles: 90.00 90.00 90.00
Atoms (fractional coordinates):
1 Zn 0.0000 0.0000 0.0000
2 Zn 0.0000 0.5000 0.2500
3 Zn 0.5000 0.0000 0.7500
4 Zn 0.5000 0.5000 0.5000
5 Co 0.0000 0.0000 0.5000
6 Co 0.0000 0.5000 0.7500
7 Co 0.5000 0.0000 0.2500
8 Co 0.5000 0.5000 0.0000
9 Os 0.1840 0.2500 0.6250
10 Os 0.2500 0.6840 0.8750
11 Os 0.2500 0.8160 0.3750
12 Os 0.3160 0.2500 0.1250
13 Os 0.6840 0.7500 0.1250
14 Os 0.7500 0.1840 0.3750
15 Os 0.7500 0.3160 0.8750
16 Os 0.8160 0.7500 0.6250

Results
For the formation energy, the calculation gives 0.796 eV per atom. The space-group type is I-42d.

***

Entry from Alexandria via LeMat-Bulk: a relaxed structure of ZnCoOs4 (PBE-GGA).

abc: 5.1140 5.1140 5.1140
angles: 60.00 60.00 60.00
Atoms (fractional coordinates):
1 Zn 0.0000 0.0000 0.0000
2 Co 0.7500 0.7500 0.7500
3 Os 0.3751 0.3751 0.3751
4 Os 0.3751 0.3751 0.8746
5 Os 0.3751 0.8746 0.3751
6 Os 0.8746 0.3751 0.3751

Results
For the formation energy, the calculation gives 0.856 eV per atom. The space-group type is F-43m.